1.
The following is a meta-GGA SCAN calculation of a PBEsol-optimized structure of LaCrBiH2, from Alexandria via LeMat-Bulk.

Computed properties:
* total energy: -28.69 eV per atom

Unit cell a=4.205 b=4.205 c=6.694 alpha=90.00 beta=90.00 gamma=90.00
Last column: magnetic moment on the atom in μB.
Fractional positions:
Cr: 0.500 0.500 0.500  4.07
Bi: 0.000 0.000 0.000  -0.01
H: 0.000 0.500 0.000  0.00
H: 0.500 0.000 0.000  0.00
La: 0.000 0.000 0.500  0.11

2.
The following is a meta-GGA SCAN calculation of a PBEsol-optimized structure of BaNi2Te, from Alexandria via LeMat-Bulk.

Computed properties:
* raw formation energy: 0.029 eV/atom

Unit cell a=4.452 b=5.015 c=5.015 alpha=68.86 beta=63.65 gamma=63.65
Fractional positions:
Ba: 0.500 0.000 0.000
Ni: 0.328 0.672 0.672
Ni: 0.672 0.328 0.328
Te: 0.000 0.500 0.500

3.
The following is a meta-GGA SCAN calculation of a PBEsol-optimized structure of YInAg, from Alexandria via LeMat-Bulk.

Computed properties:
* total energy: -31.14 eV per atom

Unit cell a=3.310 b=4.534 c=5.311 alpha=115.27 beta=108.16 gamma=90.00
Fractional positions:
Ag: 0.999 0.999 0.998
In: 0.668 0.668 0.337
Y: 0.333 0.333 0.665

4.
The following is a meta-GGA SCAN calculation of a PBEsol-optimized structure of CrReW2, from Alexandria via LeMat-Bulk.

Computed properties:
* total energy: -57.16 eV per atom

Unit cell a=2.676 b=4.316 c=5.085 alpha=90.00 beta=100.11 gamma=90.00
Fractional positions:
Re: 0.249 0.500 0.747
W: 0.996 0.000 0.996
W: 0.747 0.500 0.259
Cr: 0.508 0.000 0.497

Number 1: density 5.64 g/cm3, magnetization 4.82 Bohr magnetons per cell. Number 2: density 7.21 g/cm3, magnetization 0.00 Bohr magnetons per cell. Number 3: density 7.65 g/cm3, magnetization 0.00 Bohr magnetons per cell. Number 4: density 17.40 g/cm3, magnetization 0.00 Bohr magnetons per cell.